A plane-wave DFT calculation with PBE was carried out for La3CdIr after structural relaxation.

Output
Energy relative to the elements in kJ/mol of formula units: -228
SG: C2/m, No. 12
Energy in eV per atom: -5.38

Geometry as extended XYZ:
```
10
Lattice="8.106 -2.134 0.000 8.106 2.134 0.000 -0.580 0.000 9.572" Properties=species:S:1:pos:R:3 pbc="T T T"
La 0.546 0.000 2.835
La 3.641 0.000 6.425
La 5.780 0.000 0.352
La 9.852 0.000 9.220
La 11.990 0.000 3.147
La 15.086 0.000 6.737
Cd 6.357 0.000 4.145
Cd 9.275 0.000 5.427
Ir 3.002 0.000 1.459
Ir 12.630 0.000 8.113
```



A plane-wave DFT calculation with PBE was carried out for Na2ZnAu2 after structural relaxation.

Output
Energy relative to the elements in kJ/mol of formula units: -123
SG: P4/mbm, No. 127
Energy in eV per atom: -2.35

Geometry as extended XYZ:
```
10
Lattice="6.909 0.000 0.000 0.000 6.909 0.000 0.000 0.000 4.585" Properties=species:S:1:pos:R:3 pbc="T T T"
Na 1.136 2.318 0.000
Na 2.318 5.773 0.000
Na 4.591 1.136 0.000
Na 5.773 4.591 0.000
Zn 0.000 0.000 2.292
Zn 3.455 3.455 2.292
Au 0.997 4.452 2.292
Au 2.458 0.997 2.292
Au 4.452 5.912 2.292
Au 5.912 2.458 2.292
```



A plane-wave DFT calculation with PBE was carried out for YInS2N after structural relaxation.

Output
SG: P4/mmm, No. 123
Raw formation energy in meV per atom: -92.9
Energy in eV per atom: -5.25

Geometry as extended XYZ:
```
5
Lattice="5.059 0.000 0.000 0.000 5.059 0.000 0.000 0.000 4.092" Properties=species:S:1:pos:R:3 pbc="T T T"
Y 0.000 0.000 0.000
In 2.530 2.530 2.046
S 0.000 2.530 2.046
S 2.530 0.000 2.046
N 2.530 2.530 0.000
```



A plane-wave DFT calculation with PBE was carried out for In2MoP after structural relaxation.

Output
Energy relative to the elements in kJ/mol of formula units: 150
SG: P2/m, No. 10
Energy in eV per atom: -5.04

Geometry as extended XYZ:
```
4
Lattice="3.349 0.000 0.000 0.000 5.048 0.000 -0.156 0.000 4.813" Properties=species:S:1:pos:R:3 pbc="T T T"
In 0.684 0.000 1.212
In 2.509 0.000 3.601
Mo 1.596 2.524 2.406
P 1.675 2.524 0.000
```



A plane-wave DFT calculation with PBE was carried out for Mn2ReSnN after structural relaxation.

Output
SG: P4/mmm, No. 123
Raw formation energy in meV per atom: 39.9
Energy in eV per atom: -8.58

Geometry as extended XYZ:
```
5
Lattice="4.013 0.000 0.000 0.000 4.013 0.000 0.000 0.000 4.071" Properties=species:S:1:pos:R:3 pbc="T T T"
Mn 0.000 2.007 0.000
Mn 2.007 0.000 0.000
Re 0.000 0.000 2.036
Sn 2.007 2.007 2.036
N 0.000 0.000 0.000
```



A plane-wave DFT calculation with PBE was carried out for MnTlZn2 after structural relaxation.

Output
Energy relative to the elements in kJ/mol of formula units: 132
SG: C2/m, No. 12
Energy in eV per atom: -3.18

Geometry as extended XYZ:
```
4
Lattice="2.780 -5.043 0.000 2.780 5.043 0.000 -1.549 0.000 2.657" Properties=species:S:1:pos:R:3 pbc="T T T"
Mn 0.000 0.000 0.000
Tl 2.780 0.000 0.000
Zn 1.390 2.521 0.000
Zn 1.390 -2.521 0.000
```



Copy entry 4 word for word.
A plane-wave DFT calculation with PBE was carried out for In2MoP after structural relaxation.

Output
Energy relative to the elements in kJ/mol of formula units: 150
SG: P2/m, No. 10
Energy in eV per atom: -5.04

Geometry as extended XYZ:
```
4
Lattice="3.349 0.000 0.000 0.000 5.048 0.000 -0.156 0.000 4.813" Properties=species:S:1:pos:R:3 pbc="T T T"
In 0.684 0.000 1.212
In 2.509 0.000 3.601
Mo 1.596 2.524 2.406
P 1.675 2.524 0.000
```



- Number 6 is which compound?
  MnTlZn2